VASP calculation (PBE) on an optimized crystal structure of LiNdDyZn.

The space group is F-43m (No. 216) and the conventional cell measures 7.337, 7.337 and 7.337 Å, with angles of 90.00, 90.00 and 90.00 degrees. The inequivalent atoms are Li at (0.000, 0.000, 0.000), Nd at (0.250, 0.250, 0.250), Dy at (0.250, 0.250, 0.750) and Zn at (0.000, 0.000, 0.500).

The mass density is 6.4 g/cm3. For the raw total energy, the calculation gives -51.978 eV/cell. The value obtained for the calculated formation energy is -109 meV per atom. Its energy above the most stable polymorph in this dataset is 10 meV per atom. The calculation puts the density of states at the Fermi level at 1.43 states/eV/atom.